HoSc6Al3 | PBE | optimized geometry

Values from the calculation:
Energy relative to the elements: -0.14 eV per atom
Total magnetic moment: 0.0 μB per formula unit
Total energy: -5.52 eV per atom
Fermi-level density of states: 17.051 states/eV per cell

```
HoSc6Al3
1.0
7.0130 0.0000 0.0000
0.0000 8.0898 0.8538
0.0000 -0.9730 8.0764
Sc Al Ho
12 6 2
direct
0.1219 0.7362 0.6748
0.5880 0.2950 0.7050
0.6219 0.6748 0.7362
0.7061 0.0203 0.9797
0.3098 0.5934 0.9914
0.1219 0.3252 0.2638
0.3098 0.0086 0.4066
0.8098 0.9914 0.5934
0.0880 0.7050 0.2950
0.8098 0.4066 0.0086
0.2061 0.9797 0.0203
0.6219 0.2638 0.3252
0.3578 0.5069 0.4931
0.4256 0.9768 0.7346
0.9256 0.0232 0.2654
0.4256 0.2654 0.0232
0.8578 0.4931 0.5069
0.9256 0.7346 0.9768
0.1189 0.2809 0.7191
0.6189 0.7191 0.2809
```